CrO PBE+U relaxed; SG = Cccm, No. 66; electronic total energy = -7.804 eV/atom
1.0
-1.349 -0.846 -3.431
-2.196 -2.055 -0.716
-3.819 3.891 0.541
Cr O
2 2
Cartesian
-5.412 2.536 -1.105
-4.177 0.167 -3.091
-6.229 0.112 -3.314
-4.320 -1.833 -3.584